A plane-wave DFT calculation with PBE was carried out for a geometry-optimized SrY4Zn structure.

Cell lengths 9.351, 9.351, 9.351 Å; angles 90.00, 90.00, 90.00 degrees
Space group F-43m (No. 216)
Symmetry-distinct sites (fractional):
Sr  0.000  0.000  0.000 [4 per cell]
Y  0.124  0.124  0.624 [16 per cell]
Zn  0.250  0.250  0.250 [4 per cell]

**VASP energy**: -4.4091 eV per atom
**Mass density**: 4.13 Mg/m³
**Formation energy**: 9.06 kcal/mol of atoms
**Density of states at the Fermi level**: 1.37 states/eV per atom


A plane-wave DFT calculation with PBE was carried out for a geometry-optimized Sr2YZn structure.

Cell lengths 3.952, 5.645, 12.676 Å; angles 90.00, 90.00, 90.00 degrees
Space group Immm (No. 71)
Symmetry-distinct sites (fractional):
Sr  0.000  0.000  0.197 [4 per cell]
Y  0.000  0.500  0.000 [2 per cell]
Zn  0.000  0.500  0.500 [2 per cell]

**VASP energy**: -2.6733 eV per atom
**Mass density**: 3.87 Mg/m³
**Formation energy**: 2.36 kcal/mol of atoms
**Density of states at the Fermi level**: 1.36 states/eV per atom


A plane-wave DFT calculation with PBE was carried out for a geometry-optimized SrY2Zn3 structure.

Cell lengths 3.669, 3.669, 11.097 Å; angles 90.00, 90.00, 90.00 degrees
Space group P4/mmm (No. 123)
Symmetry-distinct sites (fractional):
Sr  0.000  0.000  0.000 [1 per cell]
Y  0.000  0.000  0.342 [2 per cell]
Zn  0.500  0.500  0.196 [2 per cell]
Zn  0.500  0.500  0.500 [1 per cell]

**VASP energy**: -3.3656 eV per atom
**Mass density**: 5.13 Mg/m³
**Formation energy**: -6.77 kcal/mol of atoms
**Density of states at the Fermi level**: 0.85 states/eV per atom


A plane-wave DFT calculation with PBE was carried out for a geometry-optimized SrYZn2 structure.

Cell lengths 3.750, 3.750, 7.409 Å; angles 90.00, 90.00, 90.00 degrees
Space group P4/mmm (No. 123)
Symmetry-distinct sites (fractional):
Sr  0.000  0.000  0.000 [1 per cell]
Y  0.000  0.000  0.500 [1 per cell]
Zn  0.500  0.500  0.291 [2 per cell]

**VASP energy**: -2.9352 eV per atom
**Mass density**: 4.90 Mg/m³
**Formation energy**: -6.04 kcal/mol of atoms
**Density of states at the Fermi level**: 0.78 states/eV per atom


A plane-wave DFT calculation with PBE was carried out for a geometry-optimized SrY3Zn structure.

Cell lengths 5.610, 5.610, 5.610 Å; angles 90.00, 90.00, 90.00 degrees
Space group Pm-3m (No. 221)
Symmetry-distinct sites (fractional):
Sr  0.000  0.000  0.000 [1 per cell]
Y  0.000  0.500  0.500 [3 per cell]
Zn  0.500  0.500  0.500 [1 per cell]

**VASP energy**: -4.3494 eV per atom
**Relative energy among the computed polymorphs**: 0.000 eV/atom
**Mass density**: 3.95 Mg/m³
**Formation energy**: 2.77 kcal/mol of atoms
**Density of states at the Fermi level**: 1.94 states/eV per atom


A plane-wave DFT calculation with PBE was carried out for a geometry-optimized SrYZn4 structure.

Cell lengths 7.948, 7.948, 7.948 Å; angles 90.00, 90.00, 90.00 degrees
Space group F-43m (No. 216)
Symmetry-distinct sites (fractional):
Sr  0.000  0.000  0.000 [4 per cell]
Y  0.250  0.250  0.750 [4 per cell]
Zn  0.124  0.124  0.376 [16 per cell]

**VASP energy**: -2.4264 eV per atom
**Relative energy among the computed polymorphs**: 0.057 eV/atom
**Mass density**: 5.80 Mg/m³
**Formation energy**: -5.06 kcal/mol of atoms
**Density of states at the Fermi level**: 0.71 states/eV per atom


A plane-wave DFT calculation with PBE was carried out for a geometry-optimized Sr2YZn structure.

Cell lengths 3.805, 3.805, 9.854 Å; angles 90.00, 90.00, 90.00 degrees
Space group P4/mmm (No. 123)
Symmetry-distinct sites (fractional):
Sr  0.000  0.000  0.202 [2 per cell]
Y  0.500  0.500  0.500 [1 per cell]
Zn  0.500  0.500  0.000 [1 per cell]

**VASP energy**: -2.7287 eV per atom
**Mass density**: 3.84 Mg/m³
**Formation energy**: 1.08 kcal/mol of atoms
**Density of states at the Fermi level**: 1.39 states/eV per atom


A plane-wave DFT calculation with PBE was carried out for a geometry-optimized Sr2YZn2 structure.

Cell lengths 4.973, 4.973, 12.950 Å; angles 90.00, 90.00, 90.00 degrees
Space group I4/mmm (No. 139)
Symmetry-distinct sites (fractional):
Sr  0.000  0.500  0.250 [4 per cell]
Y  0.000  0.000  0.000 [2 per cell]
Zn  0.000  0.000  0.408 [4 per cell]

**VASP energy**: -2.3394 eV per atom
**Relative energy among the computed polymorphs**: 0.236 eV/atom
**Mass density**: 4.10 Mg/m³
**Formation energy**: 3.13 kcal/mol of atoms
**Density of states at the Fermi level**: 0.95 states/eV per atom


A plane-wave DFT calculation with PBE was carried out for a geometry-optimized Sr2YZn2 structure.

Cell lengths 9.116, 9.116, 3.578 Å; angles 90.00, 90.00, 90.00 degrees
Space group P4/mbm (No. 127)
Symmetry-distinct sites (fractional):
Sr  0.137  0.363  0.000 [4 per cell]
Y  0.000  0.000  0.000 [2 per cell]
Zn  0.162  0.662  0.500 [4 per cell]

**VASP energy**: -2.4069 eV per atom
**Relative energy among the computed polymorphs**: 0.168 eV/atom
**Mass density**: 4.41 Mg/m³
**Formation energy**: 1.57 kcal/mol of atoms
**Density of states at the Fermi level**: 0.51 states/eV per atom


A plane-wave DFT calculation with PBE was carried out for a geometry-optimized Sr2YZn structure.

Cell lengths 9.563, 9.563, 6.618 Å; angles 90.00, 90.00, 90.00 degrees
Space group I-42d (No. 122)
Symmetry-distinct sites (fractional):
Sr  0.179  0.250  0.125 [8 per cell]
Y  0.000  0.000  0.500 [4 per cell]
Zn  0.000  0.000  0.000 [4 per cell]

**VASP energy**: -2.5314 eV per atom
**Mass density**: 3.62 Mg/m³
**Formation energy**: 5.63 kcal/mol of atoms
**Density of states at the Fermi level**: 1.48 states/eV per atom


A plane-wave DFT calculation with PBE was carried out for a geometry-optimized SrYZn3 structure.

Cell lengths 5.470, 5.470, 5.470 Å; angles 90.00, 90.00, 90.00 degrees
Space group Pm-3m (No. 221)
Symmetry-distinct sites (fractional):
Sr  0.000  0.000  0.000 [1 per cell]
Y  0.500  0.500  0.500 [1 per cell]
Zn  0.000  0.500  0.500 [3 per cell]

**VASP energy**: -2.0736 eV per atom
**Relative energy among the computed polymorphs**: 0.000 eV/atom
**Mass density**: 3.78 Mg/m³
**Formation energy**: 7.38 kcal/mol of atoms
**Density of states at the Fermi level**: 1.06 states/eV per atom


A plane-wave DFT calculation with PBE was carried out for a geometry-optimized Sr2YZn structure.

Cell lengths 3.880, 5.976, 12.521 Å; angles 90.00, 90.00, 90.00 degrees
Space group Imm2 (No. 44)
Symmetry-distinct sites (fractional):
Sr  0.000  0.000  0.000 [2 per cell]
Sr  0.000  0.500  0.201 [2 per cell]
Y  0.000  0.500  0.806 [2 per cell]
Zn  0.000  0.000  0.484 [2 per cell]

**VASP energy**: -2.7614 eV per atom
**Mass density**: 3.77 Mg/m³
**Formation energy**: 0.32 kcal/mol of atoms
**Density of states at the Fermi level**: 1.44 states/eV per atom